First-principles (SCAN) data for a crystal of Li6BiB3O9 relaxed with PBEsol, as listed in Alexandria via LeMat-Bulk.

Values from the calculation:
For the total DFT energy (no corrections), the calculation gives -0.833 Ry per atom. As for the space-group type: P2_1/c, No. 14. The value obtained for the formation energy without anion corrections is -53.3 kcal/mol of atoms.

a b c (Å): 6.6518 7.2748 16.6154
angles (deg): 90.00 90.00 105.25
Last column: nearest neighbours and their distance in Å.
Sites, in units of the cell vectors:
Li 0.3216 0.9281 0.9975  4 O 1.87-1.94
Li 0.4179 0.8607 0.5523  3 O 1.89-2.05
Li 0.8216 0.9281 0.5025  4 O 1.87-1.94
Li 0.0573 0.6915 0.4650  3 O 1.91-2.06
Li 0.9179 0.8607 0.9477  3 O 1.89-2.05
Li 0.3615 0.7192 0.7077  4 O 1.96-2.12
Li 0.5573 0.6915 0.0350  3 O 1.91-2.06
Li 0.0506 0.5575 0.2958  5 O 2.01-2.20
Li 0.1699 0.5443 0.9702  4 O 1.89-2.05
Li 0.8615 0.7192 0.7923  4 O 1.96-2.12
Li 0.5506 0.5575 0.2042  5 O 2.01-2.20
Li 0.6699 0.5443 0.5298  4 O 1.89-2.05
Li 0.3301 0.4557 0.4702  4 O 1.89-2.05
Li 0.4494 0.4425 0.7958  5 O 2.01-2.20
Li 0.1385 0.2808 0.2077  4 O 1.96-2.12
Li 0.8301 0.4557 0.0298  4 O 1.89-2.05
Li 0.9494 0.4425 0.7042  5 O 2.01-2.20
Li 0.4427 0.3085 0.9650  3 O 1.91-2.06
Li 0.6385 0.2808 0.2923  4 O 1.96-2.12
Li 0.0821 0.1393 0.0523  3 O 1.89-2.05
Li 0.9427 0.3085 0.5350  3 O 1.91-2.06
Li 0.1784 0.0719 0.4975  4 O 1.87-1.94
Li 0.5821 0.1393 0.4477  3 O 1.89-2.05
Li 0.6784 0.0719 0.0025  4 O 1.87-1.94
Bi 0.3494 0.9167 0.1866  7 O 2.38-2.48
Bi 0.8494 0.9167 0.3134  7 O 2.38-2.48
Bi 0.1506 0.0833 0.6866  7 O 2.38-2.48
Bi 0.6506 0.0833 0.8134  7 O 2.38-2.48
B 0.3428 0.9146 0.3672  3 O 1.36-1.40
B 0.8428 0.9146 0.1328  3 O 1.36-1.40
B 0.4965 0.7120 0.8814  3 O 1.36-1.40
B 0.1877 0.5536 0.1126  3 O 1.37-1.40
B 0.9965 0.7120 0.6186  3 O 1.36-1.40
B 0.6877 0.5536 0.3874  3 O 1.37-1.40
B 0.3123 0.4464 0.6126  3 O 1.37-1.40
B 0.0035 0.2880 0.3814  3 O 1.36-1.40
B 0.8123 0.4464 0.8874  3 O 1.37-1.40
B 0.5035 0.2880 0.1186  3 O 1.36-1.40
B 0.1572 0.0854 0.8672  3 O 1.36-1.40
B 0.6572 0.0854 0.6328  3 O 1.36-1.40
O 0.4669 0.9928 0.6684  1 B 1.40
O 0.0344 0.8771 0.5719  1 B 1.40
O 0.3226 0.9114 0.4486  1 B 1.36
O 0.1754 0.8358 0.3168  1 B 1.39
O 0.9669 0.9928 0.8316  1 B 1.40
O 0.5344 0.8771 0.9281  1 B 1.40
O 0.0489 0.7352 0.7000  1 B 1.39
O 0.8226 0.9114 0.0514  1 B 1.36
O 0.6754 0.8358 0.1832  1 B 1.39
O 0.2703 0.7190 0.0673  1 B 1.40
O 0.5489 0.7352 0.8000  1 B 1.39
O 0.7703 0.7190 0.4327  1 B 1.40
O 0.2227 0.5649 0.1949  1 B 1.39
O 0.4234 0.6072 0.5734  1 B 1.37
O 0.0853 0.4636 0.4142  1 B 1.36
O 0.4147 0.5364 0.9142  1 B 1.36
O 0.7227 0.5649 0.3051  1 B 1.39
O 0.0766 0.3928 0.0734  1 B 1.37
O 0.9234 0.6072 0.9266  1 B 1.37
O 0.2773 0.4351 0.6949  1 B 1.39
O 0.5853 0.4636 0.0858  1 B 1.36
O 0.9147 0.5364 0.5858  1 B 1.36
O 0.5766 0.3928 0.4266  1 B 1.37
O 0.7773 0.4351 0.8051  1 B 1.39
O 0.2297 0.2810 0.5673  1 B 1.40
O 0.4511 0.2648 0.2000  1 B 1.39
O 0.7297 0.2810 0.9327  1 B 1.40
O 0.3246 0.1642 0.8168  1 B 1.39
O 0.1774 0.0886 0.9486  1 B 1.36
O 0.9511 0.2648 0.3000  1 B 1.39
O 0.4656 0.1229 0.0719  1 B 1.40
O 0.0331 0.0072 0.1684  1 B 1.40
O 0.8246 0.1642 0.6832  1 B 1.39
O 0.6774 0.0886 0.5514  1 B 1.36
O 0.9656 0.1229 0.4281  1 B 1.40
O 0.5331 0.0072 0.3316  1 B 1.40